A plane-wave DFT calculation with PBE was carried out for an optimized crystal structure of KNbNi.

Lattice parameters (Å, degrees): 3.4200 4.5958 11.9860 92.51 92.36 111.76
With the nearest neighbours (Å) after each atom.
Fractional coordinates of all 6 atoms:
K 0.9027 0.7118 0.3207  2 Ni 3.30, 2 K 3.42
K 0.0973 0.2882 0.6793  2 Ni 3.30, 2 K 3.42
Nb 0.8313 0.6798 0.9383  5 Ni 2.52-2.72, 2 Nb 2.78-2.79
Nb 0.1687 0.3202 0.0617  5 Ni 2.52-2.72, 2 Nb 2.78-2.79
Ni 0.5316 0.0928 0.8999  5 Nb 2.52-2.72, 1 Ni 2.57
Ni 0.4684 0.9072 0.1001  5 Nb 2.52-2.72, 1 Ni 2.57

Space group ... P-1, No. 2
Excess energy over the best structure of this formula in the dataset ... 0.124 eV/atom
ΔE_f ... 0.37 eV per atom

A plane-wave DFT calculation with PBE was carried out for an optimized crystal structure of K2NbNi.

Lattice parameters (Å, degrees): 5.6244 5.6244 5.6244 60.00 60.00 60.00
With the nearest neighbours (Å) after each atom.
Fractional coordinates of all 4 atoms:
Ni 0.0000 0.0000 0.0000  8 K 3.44
Nb 0.5000 0.5000 0.5000  8 K 3.44
K 0.2500 0.2500 0.2500  4 Nb 3.44, 4 Ni 3.44
K 0.7500 0.7500 0.7500  4 Ni 3.44, 4 Nb 3.44

Space group ... Fm-3m, No. 225
Excess energy over the best structure of this formula in the dataset ... 0.492 eV/atom
ΔE_f ... 1.66 eV per atom

A plane-wave DFT calculation with PBE was carried out for an optimized crystal structure of KNbNi2.

Lattice parameters (Å, degrees): 7.2452 7.2452 6.0873 53.48 53.48 90.00
With the nearest neighbours (Å) after each atom.
Fractional coordinates of all 8 atoms:
Ni 0.6918 0.1250 0.2500  2 Nb 2.39
Ni 0.0582 0.6250 0.2500  2 Nb 2.39
Ni 0.3750 0.3082 0.7500  2 Nb 2.39
Ni 0.8750 0.9418 0.7500  2 Nb 2.39
Nb 0.0000 0.0000 0.0000  4 Ni 2.39
Nb 0.7500 0.2500 0.5000  4 Ni 2.39
K 0.5000 0.5000 0.0000  8 Ni 3.04-3.34, 2 Nb 3.29
K 0.2500 0.7500 0.5000  8 Ni 3.04-3.34, 2 Nb 3.29

Space group ... I-42d, No. 122
Excess energy over the best structure of this formula in the dataset ... 0.012 eV/atom
ΔE_f ... 0.99 eV per atom

A plane-wave DFT calculation with PBE was carried out for an optimized crystal structure of KNbNi.

Lattice parameters (Å, degrees): 2.9777 5.5086 9.4873 105.07 90.31 105.65
With the nearest neighbours (Å) after each atom.
Fractional coordinates of all 6 atoms:
K 0.8427 0.1794 0.3559  2 K 2.98, 1 Ni 3.21
K 0.1573 0.8206 0.6441  2 K 2.98, 1 Ni 3.21
Nb 0.1382 0.7755 0.0058  4 Ni 2.61-2.62, 3 Nb 2.84-2.90
Nb 0.8618 0.2245 0.9942  4 Ni 2.61-2.62, 3 Nb 2.84-2.90
Ni 0.4611 0.4280 0.8257  4 Nb 2.61-2.62
Ni 0.5389 0.5720 0.1743  4 Nb 2.61-2.62

Space group ... P-1, No. 2
Excess energy over the best structure of this formula in the dataset ... 0.209 eV/atom
ΔE_f ... 0.46 eV per atom